1.
# Sc2Be2GaRh5

A relaxed Sc2Be2GaRh5 crystal (GGA-PBE, Alexandria via LeMat-Bulk).

**Calculated formation energy**: -860 meV per atom

Cell: 9.4676 9.4676 3.1023 Å, 90.00 90.00 90.00°
Last column: nearest neighbours and their distance in Å.
Fractional positions:
Sc 0.1754 0.3246 0.0000  3 Be 2.68-2.88, 10 Rh 2.81-2.99
Sc 0.3246 0.8246 0.0000  3 Be 2.68-2.88, 10 Rh 2.81-2.99
Sc 0.6754 0.1754 0.0000  3 Be 2.68-2.88, 10 Rh 2.81-2.99
Sc 0.8246 0.6754 0.0000  3 Be 2.68-2.88, 10 Rh 2.81-2.99
Be 0.1245 0.6245 0.0000  6 Rh 2.27-2.28
Be 0.3755 0.1245 0.0000  6 Rh 2.27-2.28
Be 0.6245 0.8755 0.0000  6 Rh 2.27-2.28
Be 0.8755 0.3755 0.0000  6 Rh 2.27-2.28
Ga 0.0000 0.0000 0.0000  8 Rh 2.60
Ga 0.5000 0.5000 0.0000  8 Rh 2.60
Rh 0.0000 0.5000 0.5000  4 Be 2.28
Rh 0.0689 0.7906 0.5000  2 Be 2.27
Rh 0.2094 0.0689 0.5000  2 Be 2.27
Rh 0.2906 0.5689 0.5000  2 Be 2.27
Rh 0.4311 0.2906 0.5000  2 Be 2.27
Rh 0.5000 0.0000 0.5000  4 Be 2.28
Rh 0.5689 0.7094 0.5000  2 Be 2.27
Rh 0.7094 0.4311 0.5000  2 Be 2.27
Rh 0.7906 0.9311 0.5000  2 Be 2.27
Rh 0.9311 0.2094 0.5000  2 Be 2.27

2.
# ScBe2GaRh

A relaxed ScBe2GaRh crystal (GGA-PBE, Alexandria via LeMat-Bulk).

**Calculated formation energy**: 1660 meV per atom

Cell: 4.4168 4.4168 4.9142 Å, 90.00 90.00 90.00°
Last column: nearest neighbours and their distance in Å.
Fractional positions:
Sc 0.0000 0.0000 0.0000  4 Be 2.21, 2 Ga 2.46
Be 0.0000 0.5000 0.0000  2 Sc 2.21
Be 0.5000 0.0000 0.0000  2 Sc 2.21
Ga 0.0000 0.0000 0.5000  2 Sc 2.46
Rh 0.5000 0.5000 0.5000  4 Ga 3.12, 8 Be 3.30

3.
# BeGa2Si2Rh5

A relaxed BeGa2Si2Rh5 crystal (GGA-PBE, Alexandria via LeMat-Bulk).

**ΔE_f (raw)**: -0.539 eV/atom

Cell: 9.8700 9.8700 2.8677 Å, 90.00 90.00 90.00°
Last column: nearest neighbours and their distance in Å.
Fractional positions:
Be 0.0000 0.0000 0.0000  8 Rh 2.47
Be 0.5000 0.5000 0.0000  8 Rh 2.47
Ga 0.1564 0.3436 0.0000  6 Rh 2.59-2.61, 1 Si 2.77, 2 Ga 2.87
Ga 0.3436 0.8436 0.0000  6 Rh 2.59-2.61, 1 Si 2.77, 2 Ga 2.87
Ga 0.6564 0.1564 0.0000  6 Rh 2.59-2.61, 1 Si 2.77, 2 Ga 2.87
Ga 0.8436 0.6564 0.0000  6 Rh 2.59-2.61, 1 Si 2.77, 2 Ga 2.87
Si 0.1451 0.6451 0.0000  6 Rh 2.40-2.48
Si 0.3549 0.1451 0.0000  6 Rh 2.40-2.48
Si 0.6451 0.8549 0.0000  6 Rh 2.40-2.48
Si 0.8549 0.3549 0.0000  6 Rh 2.40-2.48
Rh 0.0000 0.5000 0.5000  4 Si 2.48, 4 Ga 2.61
Rh 0.1252 0.8393 0.5000  2 Si 2.40, 2 Be 2.47, 2 Ga 2.59
Rh 0.1607 0.1252 0.5000  2 Si 2.40, 2 Be 2.47, 2 Ga 2.59
Rh 0.3393 0.6252 0.5000  2 Si 2.40, 2 Be 2.47, 2 Ga 2.59
Rh 0.3748 0.3393 0.5000  2 Si 2.40, 2 Be 2.47, 2 Ga 2.59
Rh 0.5000 0.0000 0.5000  4 Si 2.48, 4 Ga 2.61
Rh 0.6252 0.6607 0.5000  2 Si 2.40, 2 Be 2.47, 2 Ga 2.59
Rh 0.6607 0.3748 0.5000  2 Si 2.40, 2 Be 2.47, 2 Ga 2.59
Rh 0.8393 0.8748 0.5000  2 Si 2.40, 2 Be 2.47, 2 Ga 2.59
Rh 0.8748 0.1607 0.5000  2 Si 2.40, 2 Be 2.47, 2 Ga 2.59

4.
# Be2GaSn2Rh5

A relaxed Be2GaSn2Rh5 crystal (GGA-PBE, Alexandria via LeMat-Bulk).

**Calculated formation energy**: -491 meV per atom

Cell: 9.4151 9.4151 3.1875 Å, 90.00 90.00 90.00°
Last column: nearest neighbours and their distance in Å.
Fractional positions:
Be 0.1270 0.3730 0.0000  6 Rh 2.31-2.32
Be 0.3730 0.8730 0.0000  6 Rh 2.31-2.32
Be 0.6270 0.1270 0.0000  6 Rh 2.31-2.32
Be 0.8730 0.6270 0.0000  6 Rh 2.31-2.32
Ga 0.0000 0.0000 0.0000  8 Rh 2.60
Ga 0.5000 0.5000 0.0000  8 Rh 2.60
Sn 0.1715 0.6715 0.0000  3 Be 2.68-2.84, 6 Rh 2.78-2.82
Sn 0.3285 0.1715 0.0000  3 Be 2.68-2.84, 6 Rh 2.78-2.82
Sn 0.6715 0.8285 0.0000  3 Be 2.68-2.84, 6 Rh 2.78-2.82
Sn 0.8285 0.3285 0.0000  3 Be 2.68-2.84, 6 Rh 2.78-2.82
Rh 0.0000 0.5000 0.5000  4 Be 2.32
Rh 0.0835 0.2012 0.5000  2 Be 2.31
Rh 0.2012 0.9165 0.5000  2 Be 2.31
Rh 0.2988 0.4165 0.5000  2 Be 2.31
Rh 0.4165 0.7012 0.5000  2 Be 2.31
Rh 0.5000 0.0000 0.5000  4 Be 2.32
Rh 0.5835 0.2988 0.5000  2 Be 2.31
Rh 0.7012 0.5835 0.5000  2 Be 2.31
Rh 0.7988 0.0835 0.5000  2 Be 2.31
Rh 0.9165 0.7988 0.5000  2 Be 2.31

5.
# Be2GaSnRh

A relaxed Be2GaSnRh crystal (GGA-PBE, Alexandria via LeMat-Bulk).

**Calculated formation energy**: 1243 meV per atom

Cell: 4.3312 4.3312 5.4252 Å, 90.00 90.00 90.00°
Last column: nearest neighbours and their distance in Å.
Fractional positions:
Be 0.0000 0.5000 0.0000  2 Sn 2.17
Be 0.5000 0.0000 0.0000  2 Sn 2.17
Ga 0.0000 0.0000 0.5000  2 Sn 2.71
Sn 0.0000 0.0000 0.0000  4 Be 2.17
Rh 0.5000 0.5000 0.5000  4 Ga 3.06

6.
# BeGaSn2Rh

A relaxed BeGaSn2Rh crystal (GGA-PBE, Alexandria via LeMat-Bulk).

**Calculated formation energy**: 282 meV per atom

Cell: 4.8940 4.8940 4.2277 Å, 90.00 90.00 90.00°
Last column: nearest neighbours and their distance in Å.
Fractional positions:
Be 0.0000 0.0000 0.0000  2 Rh 2.11
Ga 0.5000 0.5000 0.5000  8 Sn 3.23, 4 Rh 3.46
Sn 0.0000 0.5000 0.0000  2 Be 2.45
Sn 0.5000 0.0000 0.0000  2 Be 2.45
Rh 0.0000 0.0000 0.5000  2 Be 2.11

7.
# Tb2Be4GaRh3

A relaxed Tb2Be4GaRh3 crystal (GGA-PBE, Alexandria via LeMat-Bulk).

**Calculated formation energy**: -563 meV per atom

Cell: 3.8853 3.8853 9.9070 Å, 90.00 90.00 90.00°
Last column: nearest neighbours and their distance in Å.
Fractional positions:
Tb 0.0000 0.5000 0.2434  8 Be 2.98-3.10, 6 Rh 3.02-3.20, 2 Ga 3.20
Tb 0.5000 0.0000 0.7566  8 Be 2.98-3.10, 6 Rh 3.02-3.20, 2 Ga 3.20
Be 0.0000 0.0000 0.0000  4 Rh 2.26
Be 0.0000 0.5000 0.6405  3 Rh 2.39-2.40, 2 Ga 2.39
Be 0.5000 0.0000 0.3595  3 Rh 2.39-2.40, 2 Ga 2.39
Be 0.5000 0.5000 0.0000  4 Rh 2.26
Ga 0.0000 0.0000 0.5000  4 Be 2.39
Rh 0.0000 0.5000 0.8831  5 Be 2.26-2.40
Rh 0.5000 0.0000 0.1169  5 Be 2.26-2.40
Rh 0.5000 0.5000 0.5000  4 Be 2.39

8.
# BeGaTc2Rh

A relaxed BeGaTc2Rh crystal (GGA-PBE, Alexandria via LeMat-Bulk).

**Calculated formation energy**: 1536 meV per atom

Cell: 4.5697 4.5697 4.4636 Å, 90.00 90.00 90.00°
Last column: nearest neighbours and their distance in Å.
Fractional positions:
Be 0.0000 0.0000 0.0000  8 Tc 3.19, 4 Rh 3.23
Ga 0.5000 0.5000 0.5000  2 Rh 2.23, 4 Tc 2.28
Tc 0.0000 0.5000 0.5000  2 Ga 2.28
Tc 0.5000 0.0000 0.5000  2 Ga 2.28
Rh 0.5000 0.5000 0.0000  2 Ga 2.23

In order of appearance, calculated total energy = -6.850, -3.172, -6.278, -6.016, -3.124, -4.140, -5.487, -5.431 eV per atom.
In order of appearance, total magnetic moment = 0.0, 1.0, 0.0, 0.0, 0.0, 0.0, 0.0, 3.7 Bohr magnetons per cell.